1.
## Sc5Cd (meta-GGA SCAN)

Data for a PBEsol-optimized structure of Sc5Cd.

The structure in POSCAR format:
```
Sc5Cd
1.0
-1.159 -1.298 2.730
1.781 -4.622 -3.360
6.240 2.054 3.626
Cd Sc
1 5
Direct
0.994 0.989 0.999
0.672 0.343 0.336
0.339 0.678 0.677
0.709 0.418 0.945
0.391 0.781 0.271
0.062 0.124 0.606
```

Results
- Offset from the most stable computed form: 0.014 eV/atom
- ΔE_f: -0.0963 eV per atom
- Symmetry: Cm
- DOS at the Fermi energy: 7.39 states/eV per cell

2.
## Sc5Cd3 (meta-GGA SCAN)

Data for a PBEsol-optimized structure of Sc5Cd3.

The structure in POSCAR format:
```
Sc5Cd3
1.0
4.642 0.000 0.000
0.000 6.146 -0.069
0.000 -0.783 6.096
Cd Sc
3 5
Direct
0.000 0.500 0.500
0.500 0.771 0.229
0.500 0.229 0.771
0.500 0.269 0.269
0.000 0.000 0.000
0.500 0.731 0.731
0.000 0.000 0.500
0.000 0.500 0.000
```

Results
- Offset from the most stable computed form: 0.004 eV/atom
- ΔE_f: -0.2660 eV per atom
- Symmetry: Cmmm
- DOS at the Fermi energy: 9.22 states/eV per cell

3.
## Sc2Cd3 (meta-GGA SCAN)

Data for a PBEsol-optimized structure of Sc2Cd3.

The structure in POSCAR format:
```
Sc2Cd3
1.0
3.251 0.000 0.000
1.626 2.816 0.000
1.626 0.939 11.962
Cd Sc
3 2
Direct
0.000 0.000 0.000
0.800 0.800 0.599
0.200 0.200 0.401
0.600 0.600 0.201
0.400 0.400 0.799
```

Results
- ΔE_f: -0.1609 eV per atom
- Symmetry: R-3m
- DOS at the Fermi energy: 3.21 states/eV per cell

4.
## Sc3Cd (meta-GGA SCAN)

Data for a PBEsol-optimized structure of Sc3Cd.

The structure in POSCAR format:
```
Sc3Cd
1.0
-5.234 -2.243 -2.627
1.953 -2.347 5.478
-0.016 5.818 2.340
Cd Sc
2 6
Direct
0.000 0.750 0.750
0.000 0.250 0.250
0.500 0.275 0.275
0.451 0.201 0.750
0.000 0.725 0.225
0.549 0.799 0.250
0.000 0.275 0.775
0.500 0.725 0.725
```

Results
- Offset from the most stable computed form: 0.014 eV/atom
- ΔE_f: -0.2083 eV per atom
- Symmetry: Imma
- DOS at the Fermi energy: 8.08 states/eV per cell

5.
## Sc5Cd3 (meta-GGA SCAN)

Data for a PBEsol-optimized structure of Sc5Cd3.

The structure in POSCAR format:
```
Sc5Cd3
1.0
-4.781 -2.039 1.492
-2.738 -5.231 -6.123
1.362 -7.189 4.338
Sc Cd
10 6
Direct
0.419 0.303 0.859
0.278 0.141 0.303
0.750 0.500 0.500
0.222 0.697 0.859
0.581 0.697 0.141
0.722 0.859 0.697
0.250 0.500 0.500
0.778 0.303 0.141
0.081 0.141 0.697
0.919 0.859 0.303
0.165 0.500 0.170
0.335 0.830 0.500
0.665 0.170 0.500
0.835 0.500 0.830
0.250 0.000 0.000
0.750 0.000 0.000
```

Results
- Offset from the most stable computed form: 0.000 eV/atom
- ΔE_f: -0.2701 eV per atom
- Symmetry: I4/mcm
- DOS at the Fermi energy: 19.67 states/eV per cell

6.
## ScCd8 (meta-GGA SCAN)

Data for a PBEsol-optimized structure of ScCd8.

The structure in POSCAR format:
```
ScCd8
1.0
-0.999 3.167 -2.912
-6.309 -1.087 -2.367
-2.914 5.207 3.315
Sc Cd
1 8
Direct
0.000 0.000 0.000
0.333 0.335 0.000
0.334 0.666 0.666
0.000 0.666 0.334
0.667 0.000 0.665
0.333 0.000 0.335
0.666 0.334 0.334
0.667 0.665 0.000
0.000 0.334 0.666
```

Results
- ΔE_f: -0.1233 eV per atom
- Symmetry: I4/mmm
- DOS at the Fermi energy: 3.04 states/eV per cell

7.
## Sc5Cd (meta-GGA SCAN)

Data for a PBEsol-optimized structure of Sc5Cd.

The structure in POSCAR format:
```
Sc5Cd
1.0
-1.553 -1.374 3.892
-3.020 -2.485 -2.082
2.917 -6.535 -1.144
Sc Cd
5 1
Direct
0.500 0.000 0.000
0.000 0.838 0.323
0.500 0.330 0.339
0.500 0.670 0.661
0.000 0.162 0.677
0.000 0.500 0.000
```

Results
- Offset from the most stable computed form: 0.000 eV/atom
- ΔE_f: -0.1100 eV per atom
- Symmetry: Cmmm
- DOS at the Fermi energy: 6.95 states/eV per cell

8.
## Sc3Cd (meta-GGA SCAN)

Data for a PBEsol-optimized structure of Sc3Cd.

The structure in POSCAR format:
```
Sc3Cd
1.0
-0.658 4.929 0.649
-2.852 -1.004 4.735
5.315 0.281 3.261
Cd Sc
2 6
Direct
0.500 0.334 0.500
0.000 0.666 0.000
0.500 0.844 0.755
0.500 0.363 0.000
0.000 0.156 0.745
0.000 0.637 0.500
0.000 0.156 0.255
0.500 0.844 0.245
```

Results
- Offset from the most stable computed form: 0.053 eV/atom
- ΔE_f: -0.1691 eV per atom
- Symmetry: Pmmn
- DOS at the Fermi energy: 9.80 states/eV per cell